SnP2O8: optimized geometry, PBE-GGA.

* electronic total energy: -72.0 eV per cell
* SG: P-3m1, No. 164
* ΔE_f (raw): -17.497 eV/f.u.
* calculated density: 3.1 Mg/m³

a b c (Å): 5.3682 5.3682 6.7142
angles (deg): 90.00 90.00 120.00
Last column: nearest neighbours and their distance in Å.
Sites, in units of the cell vectors:
Sn: 0.0000 0.0000 0.0000  6 O 2.03
P: 0.3333 0.6667 0.7516  4 O 1.53-1.55
P: 0.6667 0.3333 0.2484  4 O 1.53-1.55
O: 0.1761 0.3521 0.8203  1 P 1.53
O: 0.1761 0.8239 0.8203  1 P 1.53
O: 0.3333 0.6667 0.5208  1 P 1.55
O: 0.3521 0.1761 0.1797  1 P 1.53
O: 0.6479 0.8239 0.8203  1 P 1.53
O: 0.6667 0.3333 0.4792  1 P 1.55
O: 0.8239 0.1761 0.1797  1 P 1.53
O: 0.8239 0.6479 0.1797  1 P 1.53